Record 1
VASP calculation (GGA-PBE) on a relaxed structure of RbBeSi2As.

abc: 5.639 5.639 5.571
angles: 90.00 90.00 90.00
Space group P4/mmm (No. 123)
One atom of each set of equivalent atoms:
Rb 0.000 0.000 0.000
Be 0.500 0.500 0.500
Si 0.000 0.500 0.000
As 0.000 0.000 0.500

Results
Formation energy from raw total energies (eV/atom): 2.531
Energy (eV per atom): -1.5071

=====

Record 2
VASP calculation (GGA-PBE) on a relaxed structure of Tm8As4Se3S.

abc: 8.0532 8.0532 19.7027
angles: 90.00 90.00 120.00
Space group R-3m (No. 166, hexagonal axes)
One atom of each set of equivalent atoms:
Tm 0.0000 0.0000 0.2459
Tm 0.0053 0.5027 0.7527
As 0.0000 0.0000 0.5000
As 0.0000 0.5000 0.5000
Se 0.0000 0.5000 0.0000
S 0.0000 0.0000 0.0000

Results
Formation energy from raw total energies (eV/atom): -1.670
Energy (eV per atom): -5.9790

=====

no.,size of the total moment (μB per formula unit)
1,0.00
2,0.00